1.
SiP2ClF: optimized geometry, PBE.

Calculated values
- space group = P4/mmm, No. 123
- E_form (uncorrected) (kJ per mole of atoms) = 38

Lattice parameters (Å, degrees): 4.554 4.554 4.613 90.00 90.00 90.00
Element x y z (fractional)
Si 0.000 0.000 0.000
P 0.000 0.500 0.000
P 0.500 0.000 0.000
Cl 0.000 0.000 0.500
F 0.500 0.500 0.500

---

2.
AlBi3Os: optimized geometry, PBE.

Calculated values
- DFT formation energy (eV/atom) = 0.87
- space group = Pm-3m, No. 221

Lattice parameters (Å, degrees): 5.350 5.350 5.350 90.00 90.00 90.00
Element x y z (fractional)
Al 0.000 0.000 0.000
Bi 0.000 0.500 0.500
Bi 0.500 0.000 0.500
Bi 0.500 0.500 0.000
Os 0.500 0.500 0.500

---

3.
Co2NiAs: optimized geometry, PBE.

Calculated values
- DFT formation energy (eV/atom) = 0.04
- space group = Cm, No. 8

Lattice parameters (Å, degrees): 4.333 4.333 4.258 100.63 100.63 37.10
Element x y z (fractional)
Co 0.000 0.000 0.000
Co 0.746 0.746 0.222
Ni 0.498 0.498 0.487
As 0.249 0.249 0.726

---

DFT total energy per entry: -3.5981 -4.4494 -6.1229 eV/atom